No. 1
{
  "formula": "Dy2Er3In3",
  "functional": "GGA-PBE",
  "state": "optimized geometry",
  "de_polymorph_mev_per_atom": 8,
  "magnetic_moment_mub_per_fu": 1.196,
  "vol_a3_per_cell": 217.2,
  "e_tot_ha_per_atom": -0.1555,
  "dos_at_fermi_per_ev_fu": 7.53,
  "delta_e_f_mev_per_atom": -342,
  "lattice": [[4.880, 0.000, 0.000], [0.000, 4.883, 0.000], [0.000, 0.000, 9.117]],
  "species": ["Dy", "Dy", "Er", "Er", "Er", "In", "In", "In"],
  "fractional_positions": [[0.000, 0.000, 0.239], [0.000, 0.000, 0.761], [0.500, 0.000, 0.500], [0.500, 0.500, 0.236], [0.500, 0.500, 0.764], [0.000, 0.500, 0.000], [0.000, 0.500, 0.500], [0.500, 0.000, 0.000]]
}


No. 2
{
  "formula": "Dy6ErIn3",
  "functional": "GGA-PBE",
  "state": "optimized geometry",
  "de_polymorph_mev_per_atom": 136,
  "magnetic_moment_mub_per_fu": 0.000,
  "vol_a3_per_cell": 613.8,
  "e_tot_ha_per_atom": -0.1532,
  "dos_at_fermi_per_ev_fu": 12.34,
  "delta_e_f_mev_per_atom": -129,
  "lattice": [[5.234, -7.680, 0.000], [5.234, 7.680, 0.000], [0.000, 0.000, 7.635]],
  "species": ["Dy", "Dy", "Dy", "Dy", "Dy", "Dy", "Dy", "Dy", "Dy", "Dy", "Dy", "Dy", "Er", "Er", "In", "In", "In", "In", "In", "In"],
  "fractional_positions": [[0.045, 0.955, 0.500], [0.079, 0.452, 0.999], [0.230, 0.297, 0.688], [0.297, 0.230, 0.188], [0.304, 0.696, 0.653], [0.452, 0.079, 0.499], [0.548, 0.921, 0.999], [0.696, 0.304, 0.153], [0.703, 0.770, 0.688], [0.770, 0.703, 0.188], [0.921, 0.548, 0.499], [0.955, 0.045, 0.000], [0.202, 0.798, 0.212], [0.798, 0.202, 0.712], [0.010, 0.281, 0.360], [0.281, 0.010, 0.860], [0.449, 0.551, 0.968], [0.551, 0.449, 0.468], [0.719, 0.990, 0.360], [0.990, 0.719, 0.860]]
}


No. 3
{
  "formula": "Dy2Er8In",
  "functional": "GGA-PBE",
  "state": "optimized geometry",
  "magnetic_moment_mub_per_fu": 0.000,
  "vol_a3_per_cell": 333.2,
  "e_tot_ha_per_atom": -0.1638,
  "dos_at_fermi_per_ev_fu": 15.10,
  "delta_e_f_mev_per_atom": -54,
  "lattice": [[9.595, -2.743, 0.000], [9.595, 2.743, 0.000], [-0.560, 0.000, 6.330]],
  "species": ["Dy", "Dy", "Er", "Er", "Er", "Er", "Er", "Er", "Er", "Er", "In"],
  "fractional_positions": [[0.243, 0.243, 0.334], [0.757, 0.757, 0.666], [0.045, 0.045, 0.265], [0.153, 0.153, 0.805], [0.338, 0.338, 0.878], [0.421, 0.421, 0.404], [0.579, 0.579, 0.596], [0.662, 0.662, 0.122], [0.847, 0.847, 0.195], [0.955, 0.955, 0.735], [0.500, 0.500, 0.000]]
}